Entry 1:
{"formula": "KGe2PtF", "functional": "PBE", "state": "relaxed", "density_g_cm3": 6.0, "spacegroup": "No. 123", "raw_formation_energy_ev_per_fu": 0.67, "lattice": [[4.549, 0.000, 0.000], [0.000, 5.312, 0.000], [0.000, 0.000, 4.549]], "species": ["Pt", "Ge", "Ge", "K", "F"], "frac_coords": [[0.000, 0.500, 0.000], [0.500, 0.000, 0.000], [0.000, 0.000, 0.500], [0.500, 0.500, 0.500], [0.000, 0.000, 0.000]]}



Entry 2:
{"formula": "KRb2GeF8", "functional": "PBE", "state": "relaxed", "density_g_cm3": 3.1, "spacegroup": "No. 164", "raw_formation_energy_ev_per_fu": -29.19, "lattice": [[-2.162, -0.639, 5.559], [4.631, -3.351, -1.821], [4.812, 5.302, 2.482]], "species": ["F", "F", "F", "F", "F", "F", "F", "F", "K", "Rb", "Rb", "Ge"], "frac_coords": [[0.714, 0.857, 0.142], [0.667, 0.333, 0.514], [0.333, 0.667, 0.486], [0.857, 0.143, 0.858], [0.143, 0.857, 0.142], [0.286, 0.143, 0.858], [0.143, 0.286, 0.142], [0.857, 0.714, 0.858], [0.000, 0.000, 0.500], [0.333, 0.667, 0.842], [0.667, 0.333, 0.158], [0.000, 0.000, 0.000]]}



Entry 3:
{"formula": "KGe2RhF", "functional": "PBE", "state": "relaxed", "density_g_cm3": 5.0, "spacegroup": "No. 123", "raw_formation_energy_ev_per_fu": 0.89, "lattice": [[-3.035, 3.697, 0.945], [-2.525, -2.655, 2.276], [2.533, 1.048, 4.032]], "species": ["Ge", "Ge", "Rh", "K", "F"], "frac_coords": [[0.500, 0.000, 0.000], [0.000, 0.000, 0.500], [0.000, 0.500, 0.000], [0.500, 0.500, 0.500], [0.000, 0.000, 0.000]]}



Entry 4:
{"formula": "KSi2GeF", "functional": "PBE", "state": "relaxed", "density_g_cm3": 1.9, "spacegroup": "No. 123", "raw_formation_energy_ev_per_fu": 0.30, "lattice": [[4.653, 0.000, 0.000], [0.000, 7.553, 0.000], [0.000, 0.000, 4.653]], "species": ["K", "Ge", "Si", "Si", "F"], "frac_coords": [[0.000, 0.500, 0.000], [0.000, 0.000, 0.000], [0.000, 0.000, 0.500], [0.500, 0.000, 0.000], [0.500, 0.500, 0.500]]}



Entry 5:
{"formula": "KTl2GeF6", "functional": "PBE", "state": "relaxed", "density_g_cm3": 4.5, "spacegroup": "No. 164", "raw_formation_energy_ev_per_fu": -21.21, "lattice": [[6.688, 0.000, 0.000], [0.000, 6.354, 0.000], [0.000, -3.177, 5.502]], "species": ["Tl", "Tl", "F", "F", "F", "F", "F", "F", "Ge", "K"], "frac_coords": [[0.901, 0.667, 0.333], [0.099, 0.333, 0.667], [0.825, 0.701, 0.850], [0.175, 0.299, 0.150], [0.175, 0.850, 0.150], [0.825, 0.150, 0.850], [0.175, 0.850, 0.701], [0.825, 0.150, 0.299], [0.000, 0.000, 0.000], [0.500, 0.000, 0.000]]}



Entry 6:
{"formula": "K2TlGeF8", "functional": "PBE", "state": "relaxed", "density_g_cm3": 4.0, "spacegroup": "No. 164", "raw_formation_energy_ev_per_fu": -27.42, "lattice": [[-2.715, 4.808, 0.699], [-2.818, -4.798, -0.098], [0.842, -0.652, 7.755]], "species": ["F", "F", "F", "F", "F", "F", "F", "F", "K", "K", "Tl", "Ge"], "frac_coords": [[0.692, 0.846, 0.137], [0.333, 0.667, 0.506], [0.846, 0.154, 0.863], [0.667, 0.333, 0.494], [0.154, 0.308, 0.137], [0.154, 0.846, 0.137], [0.308, 0.154, 0.863], [0.846, 0.692, 0.863], [0.667, 0.333, 0.165], [0.333, 0.667, 0.835], [0.000, 0.000, 0.500], [0.000, 0.000, 0.000]]}



Electronic total energy per entry: -17.6; -51.8; -18.7; -18.1; -42.9; -51.6 eV/cell